# 1
# Mg5Pb3 (SCAN, PBEsol geometry)
data_Mg5Pb3
_chemical_formula_sum 'Mg10 Pb6'
_cell_length_a 8.784
_cell_length_b 8.784
_cell_length_c 5.923
_cell_angle_alpha 90.00
_cell_angle_beta 90.00
_cell_angle_gamma 120.00
_space_group_name_H-M_alt 'P 1'
_space_group_IT_number 1
loop_
_space_group_symop_operation_xyz
'x,y,z'
loop_
_atom_site_label
_atom_site_fract_x
_atom_site_fract_y
_atom_site_fract_z
Mg1 0.000 0.220 0.250
Mg2 0.000 0.780 0.750
Mg3 0.220 0.000 0.250
Mg4 0.220 0.220 0.750
Mg5 0.333 0.667 0.000
Mg6 0.333 0.667 0.500
Mg7 0.667 0.333 0.000
Mg8 0.667 0.333 0.500
Mg9 0.780 0.000 0.750
Mg10 0.780 0.780 0.250
Pb1 0.000 0.400 0.750
Pb2 0.000 0.600 0.250
Pb3 0.400 0.000 0.750
Pb4 0.400 0.400 0.250
Pb5 0.600 0.000 0.250
Pb6 0.600 0.600 0.750
# Distance to the lowest polymorph of the same formula in meV/atom: 17
# ΔH_f (0 K) in eV/atom: -0.15
# Total energy in eV per atom: -31.679

# 2
# MgPb2 (SCAN, PBEsol geometry)
data_MgPb2
_chemical_formula_sum 'Mg1 Pb2'
_cell_length_a 3.442
_cell_length_b 3.442
_cell_length_c 7.995
_cell_angle_alpha 90.00
_cell_angle_beta 90.00
_cell_angle_gamma 120.00
_space_group_name_H-M_alt 'P 1'
_space_group_IT_number 1
loop_
_space_group_symop_operation_xyz
'x,y,z'
loop_
_atom_site_label
_atom_site_fract_x
_atom_site_fract_y
_atom_site_fract_z
Mg1 0.000 0.000 0.000
Pb1 0.333 0.667 0.319
Pb2 0.667 0.333 0.681
# Distance to the lowest polymorph of the same formula in meV/atom: 72
# ΔH_f (0 K) in eV/atom: -0.05
# Total energy in eV per atom: -52.231

# 3
# Mg3Pb (SCAN, PBEsol geometry)
data_Mg3Pb
_chemical_formula_sum 'Mg6 Pb2'
_cell_length_a 6.504
_cell_length_b 6.504
_cell_length_c 5.296
_cell_angle_alpha 90.00
_cell_angle_beta 90.00
_cell_angle_gamma 121.90
_space_group_name_H-M_alt 'P 1'
_space_group_IT_number 1
loop_
_space_group_symop_operation_xyz
'x,y,z'
loop_
_atom_site_label
_atom_site_fract_x
_atom_site_fract_y
_atom_site_fract_z
Mg1 0.083 0.917 0.750
Mg2 0.087 0.410 0.750
Mg3 0.410 0.087 0.250
Mg4 0.590 0.913 0.750
Mg5 0.913 0.590 0.250
Mg6 0.917 0.083 0.250
Pb1 0.402 0.598 0.250
Pb2 0.598 0.402 0.750
# ΔH_f (0 K) in eV/atom: -0.11
# Total energy in eV per atom: -22.785

# 4
# MgPb2 (SCAN, PBEsol geometry)
data_MgPb2
_chemical_formula_sum 'Mg1 Pb2'
_cell_length_a 5.345
_cell_length_b 5.345
_cell_length_c 3.356
_cell_angle_alpha 90.00
_cell_angle_beta 90.00
_cell_angle_gamma 120.00
_space_group_name_H-M_alt 'P 1'
_space_group_IT_number 1
loop_
_space_group_symop_operation_xyz
'x,y,z'
loop_
_atom_site_label
_atom_site_fract_x
_atom_site_fract_y
_atom_site_fract_z
Mg1 0.000 0.000 0.000
Pb1 0.333 0.667 0.309
Pb2 0.667 0.333 0.691
# Distance to the lowest polymorph of the same formula in meV/atom: 140
# ΔH_f (0 K) in eV/atom: 0.02
# Total energy in eV per atom: -52.163

# 5
# Mg2Pb (SCAN, PBEsol geometry)
data_Mg2Pb
_chemical_formula_sum 'Mg4 Pb2'
_cell_length_a 5.944
_cell_length_b 5.944
_cell_length_c 5.944
_cell_angle_alpha 60.00
_cell_angle_beta 60.00
_cell_angle_gamma 60.00
_space_group_name_H-M_alt 'P 1'
_space_group_IT_number 1
loop_
_space_group_symop_operation_xyz
'x,y,z'
loop_
_atom_site_label
_atom_site_fract_x
_atom_site_fract_y
_atom_site_fract_z
Mg1 0.000 0.000 0.000
Mg2 0.000 0.000 0.500
Mg3 0.000 0.500 0.000
Mg4 0.500 0.000 0.000
Pb1 0.375 0.375 0.375
Pb2 0.625 0.625 0.625
# ΔH_f (0 K) in eV/atom: -0.02
# Total energy in eV per atom: -28.600

# 6
# Mg2Pb (SCAN, PBEsol geometry)
data_Mg2Pb
_chemical_formula_sum 'Mg8 Pb4'
_cell_length_a 4.530
_cell_length_b 4.530
_cell_length_c 14.280
_cell_angle_alpha 96.21
_cell_angle_beta 96.21
_cell_angle_gamma 90.21
_space_group_name_H-M_alt 'P 1'
_space_group_IT_number 1
loop_
_space_group_symop_operation_xyz
'x,y,z'
loop_
_atom_site_label
_atom_site_fract_x
_atom_site_fract_y
_atom_site_fract_z
Mg1 0.088 0.785 0.586
Mg2 0.158 0.341 0.750
Mg3 0.215 0.912 0.914
Mg4 0.341 0.158 0.250
Mg5 0.659 0.842 0.750
Mg6 0.785 0.088 0.086
Mg7 0.842 0.659 0.250
Mg8 0.912 0.215 0.414
Pb1 0.290 0.603 0.096
Pb2 0.397 0.710 0.404
Pb3 0.603 0.290 0.596
Pb4 0.710 0.397 0.904
# ΔH_f (0 K) in eV/atom: -0.16
# Total energy in eV per atom: -28.736